LaNdMgPd after structural relaxation. Source: the Alexandria database, functional GGA-PBE.

```
4
Lattice="-3.642 -3.911 -0.219 -1.983 -2.064 4.518 -5.070 0.986 1.391" Properties=species:S:1:pos:R:3 pbc="T T T"
Mg -5.348 -2.494 2.845
Nd -2.674 -1.247 1.422
Pd 0.000 0.000 0.000
La -8.022 -3.742 4.267
```

Output
DOS(E_F) ... 3.9 states/eV/f.u.
Formation energy from the elements ... -0.321 eV per atom
Crystal system ... cubic


KZrBiBr2 after structural relaxation. Source: the Alexandria database, functional GGA-PBE.

```
5
Lattice="-5.869 -0.149 -0.660 -0.731 -0.823 6.688 -0.227 5.862 0.697" Properties=species:S:1:pos:R:3 pbc="T T T"
K -0.366 -0.412 3.344
Br -0.114 2.931 0.348
Br -2.934 -0.075 -0.330
Bi 0.000 0.000 0.000
Zr -3.414 2.445 3.362
```

Output
Formation energy (no corrections) ... 627.5 meV per atom
DOS(E_F) ... 9.1 states/eV/f.u.
Crystal system ... tetragonal


no.,total moment (μB/f.u.)
1,0.0
2,3.5